# CrI2Br

Crystalline CrI2Br at its relaxed geometry (PBE, Alexandria).

Geometry as CIF:
```
data_CrI2Br
_space_group_name_H-M_alt 'I m m m'
_space_group_IT_number 71
_space_group_name_Hall '-I 2 2'
_cell_length_a 3.933
_cell_length_b 5.148
_cell_length_c 13.718
_cell_angle_alpha 90.00
_cell_angle_beta 90.00
_cell_angle_gamma 90.00
loop_
_atom_site_label
_atom_site_type_symbol
_atom_site_fract_x
_atom_site_fract_y
_atom_site_fract_z
Cr1 Cr 0.000 0.000 0.000
I1 I 0.000 0.500 0.362
Br1 Br 0.000 0.500 0.000
```

Summary:
Excess energy over the best structure of this formula in the dataset = 0.0 meV/atom
Density of states at the Fermi level = 6.7 states/eV per cell
Uncorrected formation energy = -0.403 eV/atom
Volume = 34.72 A^3/atom

# SrCaIn2

Crystalline SrCaIn2 at its relaxed geometry (PBE, Alexandria).

Geometry as CIF:
```
data_SrCaIn2
_space_group_name_H-M_alt 'I -4 2 d'
_space_group_IT_number 122
_space_group_name_Hall 'I -4 2bw'
_cell_length_a 8.848
_cell_length_b 8.848
_cell_length_c 7.271
_cell_angle_alpha 90.00
_cell_angle_beta 90.00
_cell_angle_gamma 90.00
loop_
_atom_site_label
_atom_site_type_symbol
_atom_site_fract_x
_atom_site_fract_y
_atom_site_fract_z
Sr1 Sr 0.000 0.000 0.000
Ca1 Ca 0.000 0.000 0.500
In1 In 0.234 0.250 0.625
```

Summary:
Excess energy over the best structure of this formula in the dataset = 356.9 meV/atom
Energy relative to the elements = -2.20 kcal/mol of atoms
Density of states at the Fermi level = 14.3 states/eV per cell
Volume = 35.57 A^3/atom

# CaErAgAu

Crystalline CaErAgAu at its relaxed geometry (PBE, Alexandria).

Geometry as CIF:
```
data_CaErAgAu
_space_group_name_H-M_alt 'F -4 3 m'
_space_group_IT_number 216
_space_group_name_Hall 'F -4 2 3'
_cell_length_a 7.216
_cell_length_b 7.216
_cell_length_c 7.216
_cell_angle_alpha 90.00
_cell_angle_beta 90.00
_cell_angle_gamma 90.00
loop_
_atom_site_label
_atom_site_type_symbol
_atom_site_fract_x
_atom_site_fract_y
_atom_site_fract_z
Ca1 Ca 0.000 0.000 0.000
Er1 Er 0.000 0.000 0.500
Ag1 Ag 0.250 0.250 0.750
Au1 Au 0.250 0.250 0.250
```

Summary:
Excess energy over the best structure of this formula in the dataset = 38.2 meV/atom
Energy relative to the elements = -12.86 kcal/mol of atoms
Density of states at the Fermi level = 14.1 states/eV per cell
Volume = 23.49 A^3/atom

# Nd3Sm2ThS6

Crystalline Nd3Sm2ThS6 at its relaxed geometry (PBE, Alexandria).

Geometry as CIF:
```
data_Nd3Sm2ThS6
_space_group_name_H-M_alt 'C 1 2/m 1'
_space_group_IT_number 12
_cell_length_a 17.611
_cell_length_b 4.044
_cell_length_c 8.099
_cell_angle_alpha 90.00
_cell_angle_beta 103.27
_cell_angle_gamma 90.00
loop_
_space_group_symop_operation_xyz
'x,y,z'
'-x,-y,-z'
'-x,y,-z'
'x,-y,z'
'x+1/2,y+1/2,z'
'-x+1/2,-y+1/2,-z'
'-x+1/2,y+1/2,-z'
'x+1/2,-y+1/2,z'
loop_
_atom_site_label
_atom_site_type_symbol
_atom_site_fract_x
_atom_site_fract_y
_atom_site_fract_z
Nd1 Nd 0.000 0.000 0.000
Nd2 Nd 0.166 0.500 0.334
Sm1 Sm 0.166 0.500 0.832
Th1 Th 0.000 0.000 0.500
S1 S 0.001 0.500 0.750
S2 S 0.167 0.000 0.587
S3 S 0.169 0.000 0.080
```

Summary:
Density of states at the Fermi level = 11.8 states/eV per cell
Uncorrected formation energy = -1.987 eV/atom
Volume = 23.39 A^3/atom